Density functional theory data (GGA-PBE) for crystalline CeNpCo10 at its relaxed geometry.

The structure in POSCAR format:
```
CeNpCo10
1.0
-3.077 -0.785 2.440
2.956 -2.529 2.913
1.672 6.968 4.352
Co Np Ce
10 1 1
Direct
0.500 0.500 0.000 Co
0.000 0.000 0.343 Co
0.500 0.748 0.254 Co
0.500 0.748 0.746 Co
0.500 0.000 0.500 Co
0.000 0.000 0.657 Co
0.000 0.500 0.821 Co
0.000 0.500 0.179 Co
0.500 0.252 0.254 Co
0.500 0.252 0.746 Co
0.000 0.500 0.500 Np
0.000 0.000 0.000 Ce
```

Results
The crystal system is orthorhombic. Its electronic total energy is -90.74 eV/cell.